Pm6Co2AgI3: relaxed, PBE-GGA.

Calculated values
The calculation puts the formation energy (no corrections) at -0.57 eV/atom. The electronic total energy comes out at -57.1 eV for the cell shown. Its symmetry is C2/m. As for the total magnetic moment: 0.000 μB per formula unit. Its density of states at the Fermi level is 0.69 states/eV per atom.

Unit cell a=4.119 b=9.441 c=10.208 alpha=110.75 beta=101.64 gamma=90.00
Sites, in units of the cell vectors:
Pm: 0.336 0.855 0.671
Pm: 0.684 0.553 0.368
Pm: 0.664 0.145 0.329
Pm: 0.030 0.249 0.060
Pm: 0.970 0.751 0.940
Pm: 0.316 0.447 0.632
Co: 0.830 0.657 0.660
Co: 0.170 0.343 0.340
Ag: 0.500 0.000 0.000
I: 0.500 0.500 0.000
I: 0.838 0.163 0.675
I: 0.162 0.837 0.325

=====

Pr6Co2AgI3: relaxed, PBE-GGA.

Calculated values
The calculation puts the formation energy (no corrections) at -0.56 eV/atom. The electronic total energy comes out at -57.1 eV for the cell shown. Its symmetry is C2/m. As for the total magnetic moment: 0.000 μB per formula unit. Its density of states at the Fermi level is 0.81 states/eV per atom.

Unit cell a=4.196 b=9.566 c=10.333 alpha=111.04 beta=101.71 gamma=90.00
Sites, in units of the cell vectors:
Pr: 0.336 0.858 0.672
Pr: 0.684 0.554 0.369
Pr: 0.664 0.142 0.328
Pr: 0.029 0.249 0.058
Pr: 0.971 0.751 0.942
Pr: 0.316 0.446 0.631
Co: 0.831 0.659 0.661
Co: 0.169 0.341 0.339
Ag: 0.500 0.000 0.000
I: 0.500 0.500 0.000
I: 0.837 0.164 0.675
I: 0.163 0.836 0.325

=====

Co2ReAgI: relaxed, PBE-GGA.

Calculated values
The calculation puts the formation energy (no corrections) at 1.47 eV/atom. The electronic total energy comes out at -23.7 eV for the cell shown. Its symmetry is P4/mmm. As for the total magnetic moment: 1.255 μB per formula unit. Its density of states at the Fermi level is 1.45 states/eV per atom.

Unit cell a=4.511 b=5.358 c=4.511 alpha=90.00 beta=90.00 gamma=90.00
Sites, in units of the cell vectors:
I: 0.000 0.500 0.000
Re: 0.000 0.000 0.000
Co: 0.000 0.000 0.500
Co: 0.500 0.000 0.000
Ag: 0.500 0.500 0.500